Record 1
## Ho2RuCl (PBE)

Data for a geometry-optimized Ho2RuCl structure.

- Crystal system: tetragonal
- E_tot: -0.2195 hartree per atom
- Polymorph energy (0 for the lowest one): 86 meV/atom
- Formation energy (no corrections): -902 meV per atom

Cell lengths 3.339, 3.339, 7.950 Å; angles 90.00, 90.00, 90.00 degrees
Positions (direct):
Ho: 0.000 0.000 0.211
Ho: 0.000 0.000 0.789
Ru: 0.500 0.500 0.000
Cl: 0.500 0.500 0.500

Record 2
## Na2CaSiGe2 (PBE)

Data for a geometry-optimized Na2CaSiGe2 structure.

- Crystal system: orthorhombic
- E_tot: -0.1267 hartree per atom
- Formation energy (no corrections): -231 meV per atom

Cell lengths 4.317, 8.690, 7.344 Å; angles 90.00, 90.00, 90.00 degrees
Positions (direct):
Na: 0.000 0.086 0.000
Na: 0.000 0.914 0.500
Na: 0.500 0.158 0.320
Na: 0.500 0.842 0.820
Ca: 0.500 0.444 0.982
Ca: 0.500 0.556 0.482
Si: 0.000 0.340 0.640
Si: 0.000 0.660 0.140
Ge: 0.000 0.386 0.276
Ge: 0.000 0.614 0.776
Ge: 0.500 0.184 0.713
Ge: 0.500 0.816 0.213

Record 3
## Cs2YPd3F12 (PBE)

Data for a geometry-optimized Cs2YPd3F12 structure.

- Crystal system: trigonal
- E_tot: -0.1753 hartree per atom
- Formation energy (no corrections): -2204 meV per atom

Cell lengths 7.927, 7.927, 7.927 Å; angles 59.93, 59.93, 59.93 degrees
Positions (direct):
Cs: 0.118 0.118 0.118
Cs: 0.882 0.882 0.882
Y: 0.500 0.500 0.500
Pd: 0.000 0.500 0.500
Pd: 0.500 0.000 0.500
Pd: 0.500 0.500 0.000
F: 0.165 0.583 0.583
F: 0.190 0.190 0.577
F: 0.190 0.577 0.190
F: 0.417 0.417 0.835
F: 0.417 0.835 0.417
F: 0.423 0.810 0.810
F: 0.577 0.190 0.190
F: 0.583 0.165 0.583
F: 0.583 0.583 0.165
F: 0.810 0.423 0.810
F: 0.810 0.810 0.423
F: 0.835 0.417 0.417

Record 4
## VFeSi2W (PBE)

Data for a geometry-optimized VFeSi2W structure.

- Crystal system: tetragonal
- E_tot: -0.2533 hartree per atom
- Formation energy (no corrections): 1383 meV per atom

Cell lengths 4.600, 4.600, 4.670 Å; angles 90.00, 90.00, 90.00 degrees
Positions (direct):
V: 0.000 0.000 0.000
Fe: 0.500 0.500 0.000
Si: 0.000 0.500 0.500
Si: 0.500 0.000 0.500
W: 0.500 0.500 0.500